# NiS2F

A geometry-optimized NiS2F structure (PBE with a Hubbard U, the Alexandria database).

Geometry as POSCAR:
```
NiS2F
1.0
1.512 0.000 8.305
-0.756 1.310 8.305
-0.756 -1.310 8.305
Ni S F
1 2 1
Cartesian
0.000 0.000 0.000 Ni
0.000 0.000 22.756 S
0.000 0.000 2.160 S
0.000 0.000 12.458 F
```

Computed properties:
* relative energy among the computed polymorphs: 2.72 eV/f.u.